No. 1
This record from Alexandria describes a PBEsol-optimized structure of ZnFeCo. The functional is SCAN.

The structure in POSCAR format:
```
ZnFeCo
1.0
2.834 0.000 0.000
0.000 2.834 0.000
0.000 0.000 8.548
Zn Fe Co
2 2 2
Cartesian
0.000 0.000 0.000 Zn
1.417 1.417 4.274 Zn
0.000 0.000 2.735 Fe
1.417 1.417 7.010 Fe
0.000 0.000 5.765 Co
1.417 1.417 1.491 Co
```

Computed properties:
ΔE_f (eV/atom): -0.055
Volume (Å³ per atom): 11.44
SG: I4mm (107)
DOS at the Fermi energy (states/eV/cell): 4.179

=====

No. 2
This record from Alexandria describes a PBEsol-optimized structure of CaTcPt2. The functional is SCAN.

The structure in POSCAR format:
```
CaTcPt2
1.0
2.766 0.000 0.000
0.000 4.682 0.000
0.000 0.000 4.996
Ca Tc Pt
1 1 2
Cartesian
0.000 0.000 0.000 Ca
0.000 2.341 3.059 Tc
1.383 0.000 2.507 Pt
1.383 2.341 0.673 Pt
```

Computed properties:
ΔE_f (eV/atom): -0.370
Volume (Å³ per atom): 16.17
SG: Pmm2 (25)
DOS at the Fermi energy (states/eV/cell): 2.096

=====

No. 3
This record from Alexandria describes a PBEsol-optimized structure of TcMoPt2. The functional is SCAN.

The structure in POSCAR format:
```
TcMoPt2
1.0
2.732 0.000 0.000
-1.366 2.366 0.000
0.000 0.000 27.196
Tc Mo Pt
3 3 6
Cartesian
0.000 0.000 0.000 Tc
0.000 1.577 18.130 Tc
1.366 0.789 9.065 Tc
0.000 0.000 13.598 Mo
0.000 1.577 4.533 Mo
1.366 0.789 22.663 Mo
0.000 0.000 6.819 Pt
0.000 0.000 20.376 Pt
0.000 1.577 11.311 Pt
0.000 1.577 24.950 Pt
1.366 0.789 2.246 Pt
1.366 0.789 15.885 Pt
```

Computed properties:
ΔE_f (eV/atom): -0.109
Volume (Å³ per atom): 14.65
SG: R-3m (166)
DOS at the Fermi energy (states/eV/cell): 11.866

=====

No. 4
This record from Alexandria describes a PBEsol-optimized structure of I. The functional is SCAN.

The structure in POSCAR format:
```
I
1.0
7.457 0.000 0.000
0.000 4.371 0.000
0.000 0.000 9.643
I
8
Cartesian
0.000 0.758 1.185 I
0.000 1.427 6.007 I
0.000 2.944 3.637 I
0.000 3.612 8.458 I
3.728 0.758 3.637 I
3.728 1.427 8.458 I
3.728 2.944 1.185 I
3.728 3.612 6.007 I
```

Computed properties:
E (eV for the cell shown): -293.66
Volume (Å³ per atom): 39.28
SG: Cmce (64)

=====

No. 5
This record from Alexandria describes a PBEsol-optimized structure of UMn2. The functional is SCAN.

The structure in POSCAR format:
```
UMn2
1.0
4.328 0.000 0.000
0.000 5.113 0.000
0.000 0.000 7.387
U Mn
4 8
Cartesian
0.000 1.278 1.003 U
0.000 3.835 6.384 U
2.164 1.278 2.691 U
2.164 3.835 4.696 U
0.000 0.000 3.693 Mn
0.000 2.556 3.693 Mn
1.082 1.278 5.540 Mn
1.082 3.835 1.847 Mn
2.164 0.000 0.000 Mn
2.164 2.556 0.000 Mn
3.246 1.278 5.540 Mn
3.246 3.835 1.847 Mn
```

Computed properties:
ΔE_f (eV/atom): 0.017
Volume (Å³ per atom): 13.62
SG: Imma (74)
DOS at the Fermi energy (states/eV/cell): 14.127

=====

No. 6
This record from Alexandria describes a PBEsol-optimized structure of SbI2NO. The functional is SCAN.

The structure in POSCAR format:
```
SbI2NO
1.0
5.930 0.000 0.000
0.000 5.930 0.000
0.000 0.000 3.989
Sb I N O
1 2 1 1
Cartesian
0.000 0.000 0.000 Sb
0.000 2.965 0.000 I
2.965 0.000 0.000 I
2.965 2.965 1.995 N
0.000 0.000 1.995 O
```

Computed properties:
E (eV for the cell shown): -122.92
Volume (Å³ per atom): 28.06
SG: P4/mmm (123)
DOS at the Fermi energy (states/eV/cell): 3.011